[1]
LaYNi after structural relaxation, computed with PBE-GGA.

a b c (Å): 4.5484 4.5484 4.4602
angles (deg): 90.00 90.00 120.00
Sites, in units of the cell vectors:
La (0.0000, 0.0000, 0.0578)
Ni (0.6667, 0.3333, 0.3794)
Y (0.3333, 0.6667, 0.5628)

ρ	5.95	g/cm3
SG	P3m1 (156)
density of states at the Fermi level	1.0949	states/eV per atom
E_form	-47	meV/atom
ΔE to the lowest computed polymorph	0.180	eV per atom
VASP energy	-5.771	eV per atom

---

[2]
Rb2ErIO6 after structural relaxation, computed with PBE-GGA.

a b c (Å): 5.8030 6.5446 6.5446
angles (deg): 120.00 90.00 90.00
Sites, in units of the cell vectors:
Rb (0.1167, 0.3333, 0.6667)
Rb (0.8833, 0.6667, 0.3333)
Er (0.5000, 0.0000, 0.0000)
I (0.0000, 0.0000, 0.0000)
O (0.7967, 0.1341, 0.2682)
O (0.7967, 0.1341, 0.8659)
O (0.7967, 0.7318, 0.8659)
O (0.2033, 0.8659, 0.1341)
O (0.2033, 0.2682, 0.1341)
O (0.2033, 0.8659, 0.7318)

ρ	4.33	g/cm3
SG	P-3m1 (164)
density of states at the Fermi level	0.0000	states/eV per atom
VASP energy	-5.329	eV per atom
formation energy (no corrections)	-15.49	eV per formula unit

---

[3]
InSbAsI2 after structural relaxation, computed with PBE-GGA.

a b c (Å): 5.8839 5.8839 5.4036
angles (deg): 90.00 90.00 90.00
Sites, in units of the cell vectors:
I (0.0000, 0.5000, 0.0000)
I (0.5000, 0.0000, 0.0000)
Sb (0.0000, 0.0000, 0.5000)
As (0.0000, 0.0000, 0.0000)
In (0.5000, 0.5000, 0.5000)

ρ	5.02	g/cm3
SG	P4/mmm (123)
density of states at the Fermi level	0.8757	states/eV per atom
ΔE to the lowest computed polymorph	0.000	eV per atom
VASP energy	-2.713	eV per atom
formation energy (no corrections)	1.05	eV per formula unit

---

[4]
Cs2TaSbO6 after structural relaxation, computed with PBE-GGA.

a b c (Å): 5.8714 5.8714 5.8711
angles (deg): 60.00 60.00 90.00
Sites, in units of the cell vectors:
Cs (0.7500, 0.2500, 0.5000)
Cs (0.2500, 0.7500, 0.5000)
Ta (0.0000, 0.0000, 0.0000)
Sb (0.5000, 0.5000, 0.0000)
O (0.2475, 0.2475, 0.5050)
O (0.7525, 0.7525, 0.0000)
O (0.2475, 0.7525, 0.0000)
O (0.7525, 0.2475, 0.0000)
O (0.2475, 0.2475, 0.0000)
O (0.7525, 0.7525, 0.4950)

ρ	7.71	g/cm3
SG	Fm-3m (225)
VASP energy	-6.552	eV per atom
formation energy (no corrections)	-18.09	eV per formula unit

---

[5]
La2Pm3SmAs6 after structural relaxation, computed with PBE-GGA.

a b c (Å): 4.2831 8.5635 9.5715
angles (deg): 102.95 102.93 90.00
Sites, in units of the cell vectors:
La (0.8343, 0.6682, 0.6685)
La (0.1657, 0.3318, 0.3315)
Pm (0.5000, 0.5000, 0.0000)
Pm (0.8333, 0.1660, 0.6666)
Pm (0.1667, 0.8340, 0.3334)
Sm (0.5000, 0.0000, 0.0000)
As (0.3340, 0.9214, 0.6680)
As (0.6653, 0.5867, 0.3306)
As (0.6660, 0.0786, 0.3320)
As (0.9983, 0.2479, 0.9966)
As (0.0017, 0.7521, 0.0034)
As (0.3347, 0.4133, 0.6694)

ρ	6.55	g/cm3
SG	C2/m (12)
density of states at the Fermi level	0.1352	states/eV per atom
E_form	-1538	meV/atom
VASP energy	-6.265	eV per atom

---

[6]
Li3LaB after structural relaxation, computed with PBE-GGA.

a b c (Å): 4.4415 4.4415 4.4415
angles (deg): 90.00 90.00 90.00
Site moments in Bohr magnetons follow the coordinates.
Sites, in units of the cell vectors:
B (0.0000, 0.0000, 0.0000)  -0.06
Li (0.0000, 0.5000, 0.0000)  0.01
Li (0.0000, 0.0000, 0.5000)  0.01
Li (0.5000, 0.0000, 0.0000)  0.01
La (0.5000, 0.5000, 0.5000)  0.33

ρ	3.23	g/cm3
SG	Pm-3m (221)
density of states at the Fermi level	0.2204	states/eV per atom
E_form	320	meV/atom
ΔE to the lowest computed polymorph	0.000	eV per atom
VASP energy	-3.150	eV per atom

---

[7]
V2ZnNi8 after structural relaxation, computed with PBE-GGA.

a b c (Å): 4.3601 6.5418 7.0114
angles (deg): 62.19 72.01 48.53
Sites, in units of the cell vectors:
V (0.0000, 0.3146, 0.3707)
V (0.0000, 0.6854, 0.6293)
Zn (0.5000, 0.0000, 0.0000)
Ni (0.7640, 0.1045, 0.2713)
Ni (0.7640, 0.3758, 0.7287)
Ni (0.2556, 0.4914, 0.0000)
Ni (0.5000, 0.8028, 0.3944)
Ni (0.5000, 0.1972, 0.6056)
Ni (0.7444, 0.5086, 0.0000)
Ni (0.2360, 0.6242, 0.2713)
Ni (0.2360, 0.8955, 0.7287)

ρ	7.98	g/cm3
SG	C2/m (12)
density of states at the Fermi level	0.8662	states/eV per atom
E_form	-9	meV/atom
VASP energy	-5.987	eV per atom

---

[8]
BaCu2ReAs after structural relaxation, computed with PBE-GGA.

a b c (Å): 4.7953 4.8284 4.7953
angles (deg): 90.00 90.00 90.00
Site moments in Bohr magnetons follow the coordinates.
Sites, in units of the cell vectors:
Re (0.0000, 0.5000, 0.0000)  1.06
As (0.0000, 0.0000, 0.0000)  -0.01
Ba (0.5000, 0.5000, 0.5000)  0.00
Cu (0.0000, 0.0000, 0.5000)  0.02
Cu (0.5000, 0.0000, 0.0000)  0.01

ρ	7.86	g/cm3
SG	P4/mmm (123)
density of states at the Fermi level	0.9624	states/eV per atom
E_form	606	meV/atom
VASP energy	-4.836	eV per atom

---

[9]
BaZr2 after structural relaxation, computed with PBE-GGA.

a b c (Å): 5.5504 5.5504 3.2824
angles (deg): 90.00 90.00 120.00
Sites, in units of the cell vectors:
Ba (0.0000, 0.0000, 0.5000)
Zr (0.6667, 0.3333, 0.0000)
Zr (0.3333, 0.6667, 0.0000)

ρ	6.06	g/cm3
SG	P6/mmm (191)
density of states at the Fermi level	1.6807	states/eV per atom
E_form	677	meV/atom
ΔE to the lowest computed polymorph	0.358	eV per atom
VASP energy	-5.663	eV per atom

---

[10]
Tb2Pt15Au2 after structural relaxation, computed with PBE-GGA.

a b c (Å): 7.0034 7.0034 7.0034
angles (deg): 83.54 83.54 83.54
Sites, in units of the cell vectors:
Tb (0.3467, 0.3467, 0.3467)
Tb (0.6533, 0.6533, 0.6533)
Pt (0.5000, 0.0000, 0.0000)
Pt (0.0000, 0.0000, 0.5000)
Pt (0.0000, 0.5000, 0.0000)
Pt (0.0000, 0.6784, 0.3216)
Pt (0.6784, 0.3216, 0.0000)
Pt (0.3216, 0.0000, 0.6784)
Pt (0.3216, 0.6784, 0.0000)
Pt (0.6784, 0.0000, 0.3216)
Pt (0.0000, 0.3216, 0.6784)
Pt (0.1684, 0.6577, 0.6577)
Pt (0.6577, 0.6577, 0.1684)
Pt (0.6577, 0.1684, 0.6577)
Pt (0.8316, 0.3423, 0.3423)
Pt (0.3423, 0.3423, 0.8316)
Pt (0.3423, 0.8316, 0.3423)
Au (0.1063, 0.1063, 0.1063)
Au (0.8937, 0.8937, 0.8937)

ρ	17.90	g/cm3
SG	R-3m (166)
density of states at the Fermi level	0.7596	states/eV per atom
E_form	-410	meV/atom
VASP energy	-6.012	eV per atom

---

[11]
Mg3AsRu after structural relaxation, computed with PBE-GGA.

a b c (Å): 4.8914 4.8914 4.8914
angles (deg): 90.00 90.00 90.00
Site moments in Bohr magnetons follow the coordinates.
Sites, in units of the cell vectors:
Ru (0.5000, 0.5000, 0.5000)  1.48
As (0.0000, 0.0000, 0.0000)  -0.01
Mg (0.0000, 0.5000, 0.0000)  -0.02
Mg (0.0000, 0.0000, 0.5000)  -0.03
Mg (0.5000, 0.0000, 0.0000)  -0.01

ρ	3.53	g/cm3
SG	Pm-3m (221)
density of states at the Fermi level	1.3561	states/eV per atom
E_form	620	meV/atom
ΔE to the lowest computed polymorph	0.118	eV per atom
VASP energy	-3.122	eV per atom

---

[12]
SmHo6 after structural relaxation, computed with PBE-GGA.

a b c (Å): 6.9553 6.9553 6.9553
angles (deg): 109.47 109.47 109.47
Sites, in units of the cell vectors:
Sm (0.0000, 0.0000, 0.0000)
Ho (0.2500, 0.7500, 0.5000)
Ho (0.5000, 0.7500, 0.2500)
Ho (0.2500, 0.5000, 0.7500)
Ho (0.7500, 0.2500, 0.5000)
Ho (0.5000, 0.2500, 0.7500)
Ho (0.7500, 0.5000, 0.2500)

ρ	7.31	g/cm3
SG	Im-3m (229)
density of states at the Fermi level	1.0417	states/eV per atom
E_form	1465	meV/atom
ΔE to the lowest computed polymorph	1.199	eV per atom
VASP energy	-3.133	eV per atom

---

[13]
Pr2MgS4 after structural relaxation, computed with PBE-GGA.

a b c (Å): 8.1741 8.1741 8.1741
angles (deg): 60.00 60.00 60.00
Sites, in units of the cell vectors:
Pr (0.1250, 0.1250, 0.6250)
Pr (0.6250, 0.1250, 0.1250)
Pr (0.1250, 0.6250, 0.1250)
Pr (0.1250, 0.1250, 0.1250)
Mg (0.5000, 0.5000, 0.5000)
Mg (0.7500, 0.7500, 0.7500)
S (0.8771, 0.8771, 0.8771)
S (0.8771, 0.3688, 0.8771)
S (0.8771, 0.8771, 0.3688)
S (0.3688, 0.8771, 0.8771)
S (0.8812, 0.3729, 0.3729)
S (0.3729, 0.3729, 0.8812)
S (0.3729, 0.8812, 0.3729)
S (0.3729, 0.3729, 0.3729)

ρ	3.74	g/cm3
SG	Fd-3m (227)
ΔE to the lowest computed polymorph	0.038	eV per atom
VASP energy	-5.741	eV per atom
formation energy (no corrections)	-12.53	eV per formula unit

---

[14]
CsNaNpI5 after structural relaxation, computed with PBE-GGA.

a b c (Å): 8.9933 8.9933 11.9148
angles (deg): 102.44 102.44 109.07
Site moments in Bohr magnetons follow the coordinates.
Sites, in units of the cell vectors:
Cs (0.3410, 0.6590, 0.2500)  0.00
Cs (0.6590, 0.3410, 0.7500)  0.00
Na (0.6880, 0.3120, 0.2500)  0.00
Na (0.3120, 0.6880, 0.7500)  0.00
Np (0.0000, 0.0000, 0.5000)  4.01
Np (0.0000, 0.0000, 0.0000)  4.01
I (0.0690, 0.9310, 0.2500)  -0.03
I (0.9310, 0.0690, 0.7500)  -0.03
I (0.9052, 0.2999, 0.0849)  -0.02
I (0.0948, 0.7001, 0.9151)  -0.02
I (0.7001, 0.0948, 0.4151)  -0.02
I (0.2999, 0.9052, 0.5849)  -0.02
I (0.7490, 0.6393, 0.4410)  -0.02
I (0.2510, 0.3607, 0.5590)  -0.02
I (0.3607, 0.2510, 0.0590)  -0.02
I (0.6393, 0.7490, 0.9410)  -0.02

ρ	4.03	g/cm3
SG	C2/c (15)
density of states at the Fermi level	0.6309	states/eV per atom
VASP energy	-3.979	eV per atom
formation energy (no corrections)	-8.97	eV per formula unit

---

[15]
MgNiAuSe after structural relaxation, computed with PBE-GGA.

a b c (Å): 3.1452 3.7330 6.2703
angles (deg): 73.18 90.06 90.00
Sites, in units of the cell vectors:
Ni (0.0654, 0.4865, 0.1931)
Mg (0.0653, 0.2620, 0.6524)
Au (0.5655, 0.8981, 0.3783)
Se (0.5646, 0.6356, 0.9051)

ρ	8.46	g/cm3
SG	Pm (6)
density of states at the Fermi level	0.5683	states/eV per atom
ΔE to the lowest computed polymorph	0.034	eV per atom
VASP energy	-3.851	eV per atom
formation energy (no corrections)	-1.27	eV per formula unit

---

[16]
TiNiOs after structural relaxation, computed with PBE-GGA.

a b c (Å): 5.3572 3.8548 8.2452
angles (deg): 90.00 105.97 90.00
Sites, in units of the cell vectors:
Ni (0.8354, 0.0000, 0.6748)
Ni (0.1646, 0.0000, 0.3252)
Ni (0.8354, 0.5000, 0.1748)
Ni (0.1646, 0.5000, 0.8252)
Os (0.0000, 0.0000, 0.0000)
Os (0.0000, 0.5000, 0.5000)
Os (0.5000, 0.5000, 0.5000)
Os (0.5000, 0.0000, 0.0000)
Ti (0.6916, 0.0000, 0.3497)
Ti (0.3084, 0.0000, 0.6503)
Ti (0.6916, 0.5000, 0.8497)
Ti (0.3084, 0.5000, 0.1503)

ρ	12.04	g/cm3
SG	C2/m (12)
density of states at the Fermi level	0.7372	states/eV per atom
E_form	-356	meV/atom
ΔE to the lowest computed polymorph	0.078	eV per atom
VASP energy	-8.658	eV per atom

---

[17]
ZnW2Cl after structural relaxation, computed with PBE-GGA.

a b c (Å): 10.6222 10.6222 10.6222
angles (deg): 15.54 15.54 15.54
Sites, in units of the cell vectors:
Cl (0.7255, 0.7255, 0.7255)
W (0.9997, 0.9997, 0.9997)
W (0.2570, 0.2570, 0.2570)
Zn (0.5178, 0.5178, 0.5178)

ρ	10.38	g/cm3
SG	R3m (160)
density of states at the Fermi level	1.1070	states/eV per atom
ΔE to the lowest computed polymorph	0.000	eV per atom
VASP energy	-6.951	eV per atom
formation energy (no corrections)	1.22	eV per formula unit

---

[18]
Cs3Tb3ThTe8 after structural relaxation, computed with PBE-GGA.

a b c (Å): 9.0443 9.0439 10.4978
angles (deg): 115.54 90.00 120.00
Sites, in units of the cell vectors:
Cs (0.0000, 0.0000, 0.0000)
Cs (0.0000, 0.5000, 0.0000)
Cs (0.5000, 0.5000, 0.0000)
Tb (0.5000, 0.0000, 0.5000)
Tb (0.5000, 0.5000, 0.5000)
Tb (0.0000, 0.5000, 0.5000)
Th (0.0000, 0.0000, 0.5000)
Te (0.2702, 0.5405, 0.3110)
Te (0.7298, 0.4595, 0.6890)
Te (0.7678, 0.5357, 0.3093)
Te (0.2322, 0.4643, 0.6907)
Te (0.7679, 0.0413, 0.3094)
Te (0.2321, 0.9587, 0.6906)
Te (0.2734, 0.0413, 0.3094)
Te (0.7266, 0.9587, 0.6906)

ρ	5.48	g/cm3
SG	R-3m (166)
VASP energy	-4.640	eV per atom
formation energy (no corrections)	-20.59	eV per formula unit

---

[19]
TlAuSCl2 after structural relaxation, computed with PBE-GGA.

a b c (Å): 5.2114 5.2114 4.8374
angles (deg): 90.00 90.00 90.00
Site moments in Bohr magnetons follow the coordinates.
Sites, in units of the cell vectors:
Tl (0.5000, 0.5000, 0.5000)  0.01
Au (0.0000, 0.0000, 0.0000)  0.14
S (0.0000, 0.0000, 0.5000)  0.39
Cl (0.0000, 0.5000, 0.0000)  0.04
Cl (0.5000, 0.0000, 0.0000)  0.04

ρ	6.37	g/cm3
SG	P4/mmm (123)
density of states at the Fermi level	0.7821	states/eV per atom
ΔE to the lowest computed polymorph	0.000	eV per atom
VASP energy	-2.873	eV per atom
formation energy (no corrections)	-0.90	eV per formula unit

---

[20]
CsRb2WI after structural relaxation, computed with PBE-GGA.

a b c (Å): 7.1197 5.9738 7.1197
angles (deg): 90.00 90.00 90.00
Site moments in Bohr magnetons follow the coordinates.
Sites, in units of the cell vectors:
Cs (0.5000, 0.5000, 0.5000)  0.01
I (0.0000, 0.0000, 0.0000)  0.03
Rb (0.0000, 0.0000, 0.5000)  0.01
Rb (0.5000, 0.0000, 0.0000)  0.01
W (0.0000, 0.5000, 0.0000)  3.19

ρ	3.37	g/cm3
SG	P4/mmm (123)
density of states at the Fermi level	0.4692	states/eV per atom
VASP energy	-2.604	eV per atom
formation energy (no corrections)	4.27	eV per formula unit